Below is a relaxed structure of NaCrTc, with properties calculated at the GGA-PBE level.

a b c (Å): 9.910 2.885 7.633
angles (deg): 90.00 105.60 90.00
Sites, in units of the cell vectors:
1 Na 0.000 0.000 0.000
2 Na 0.207 0.500 0.845
3 Na 0.500 0.500 0.000
4 Na 0.707 0.000 0.845
5 Cr 0.023 0.000 0.520
6 Cr 0.348 0.000 0.566
7 Cr 0.523 0.500 0.520
8 Cr 0.848 0.500 0.566
9 Tc 0.147 0.500 0.358
10 Tc 0.345 0.000 0.275
11 Tc 0.647 0.000 0.358
12 Tc 0.845 0.500 0.275

Calculated values
magnetic moment	0.52	μB per cell
calculated total energy	-6.5160	eV per atom
space-group type	No. 8
DOS at the Fermi energy	10.8	states/eV/cell